1) ZrMnCd2 | PBE | relaxed

POSCAR file:
```
ZrMnCd2
1.0
6.5912 0.0347 0.1190
-2.6616 4.8006 -0.0824
1.2681 0.7421 2.5462
Cd Zr Mn
2 1 1
Direct
0.0000 0.0000 0.0000
0.5000 0.0000 0.5000
0.5000 0.5000 0.0000
0.0000 0.5000 0.5000
```

Results
Its volume is 80 Å³/f.u. As for the space-group type: No. 12.



2) ZrMnCd2 | PBE | relaxed

POSCAR file:
```
ZrMnCd2
1.0
3.1302 0.0170 0.0000
-0.0172 3.1302 0.0000
0.0000 0.0000 8.1338
Cd Zr Mn
2 1 1
Direct
0.0000 0.0000 0.4790
0.0000 0.0000 0.0210
0.5000 0.5000 0.7500
0.5000 0.5000 0.2500
```

Results
Its volume is 80 Å³/f.u. As for the space-group type: No. 123.



Least stable structure: 1)



1) ZrMnCd2 | PBE | relaxed

POSCAR file:
```
ZrMnCd2
1.0
-2.6857 0.8663 4.5397
-4.7992 0.4648 2.3075
-1.2087 -4.7326 1.9957
Mn Cd Zr
1 2 1
Direct
0.4931 0.4931 0.4522
0.0079 0.0079 0.9658
0.7671 0.7671 0.7781
0.2319 0.2319 0.3039
```

Results
Its volume is 80 Å³/f.u. As for the space-group type: No. 8.



2) ZrMnCd2 | PBE | relaxed

POSCAR file:
```
ZrMnCd2
1.0
-0.2121 1.3213 -3.9863
-4.1354 -0.7285 -0.0215
-0.7499 4.2141 1.4367
Mn Zr Cd
1 1 2
Direct
0.5000 0.0000 0.5000
0.0000 0.5000 0.5000
0.5000 0.5000 0.0000
0.0000 0.0000 0.0000
```

Results
Its volume is 80 Å³/f.u. As for the space-group type: No. 123.



3) ZrMnCd2 | PBE | relaxed

POSCAR file:
```
ZrMnCd2
1.0
-1.1459 -1.8137 3.2414
-1.9037 -2.6259 -2.1423
7.1477 -8.2539 0.2390
Mn Zr Cd
2 2 4
Direct
0.2500 0.7500 0.5000
0.5000 0.5000 0.0000
0.0000 0.0000 0.0000
0.7500 0.2500 0.5000
0.8750 0.8633 0.7500
0.1367 0.6250 0.2500
0.3750 0.3867 0.7500
0.6133 0.1250 0.2500
```

Results
Its volume is 80 Å³/f.u. As for the space-group type: No. 122.



4) ZrMnCd2 | PBE | relaxed

POSCAR file:
```
ZrMnCd2
1.0
2.9410 -3.6269 -0.6709
-1.7037 -4.3854 -0.3460
0.0752 -2.2390 -4.1516
Mn Zr Cd
1 1 2
Direct
0.0000 0.0000 0.0000
0.5000 0.5000 0.5000
0.7500 0.7500 0.7500
0.2500 0.2500 0.2500
```

Results
Its volume is 74 Å³/f.u. As for the space-group type: No. 225.



Least stable structure: 3)



1) ZrMn3Cd | PBE | relaxed

POSCAR file:
```
ZrMn3Cd
1.0
-4.4609 1.4405 1.0640
-1.6770 -2.3577 -3.8388
-0.6285 -3.9336 2.6905
Mn Zr Cd
3 1 1
Direct
0.5000 0.0000 0.0000
0.0000 0.0000 0.5000
0.0000 0.5000 0.0000
0.0000 0.0000 0.0000
0.5000 0.5000 0.5000
```

Results
Its volume is 111 Å³/f.u. As for the space-group type: No. 221.



2) ZrMn3Cd | PBE | relaxed

POSCAR file:
```
ZrMn3Cd
1.0
4.8591 0.0000 0.0000
0.0000 4.8591 0.0000
0.0000 0.0000 4.8591
Mn Zr Cd
3 1 1
Direct
0.0000 0.0000 0.5000
0.5000 0.0000 0.0000
0.0000 0.5000 0.0000
0.5000 0.5000 0.5000
0.0000 0.0000 0.0000
```

Results
Its volume is 115 Å³/f.u. As for the space-group type: No. 221.



Least stable structure: 1)



1) CdMo | PBE | relaxed

POSCAR file:
```
CdMo
1.0
4.2005 0.0000 0.0000
0.0000 4.2005 0.0000
2.1002 2.1002 4.0167
Cd Mo
2 2
Direct
0.0000 0.0000 0.0000
0.7500 0.2500 0.5000
0.5000 0.5000 0.0000
0.2500 0.7500 0.5000
```

Results
Its volume is 35 Å³/f.u. As for the space-group type: No. 141.



2) CdMo | PBE | relaxed

POSCAR file:
```
CdMo
1.0
8.6712 0.0000 0.0000
0.0000 8.6712 0.0000
0.0000 0.0000 8.6712
Cd Mo
8 8
Direct
0.7101 0.7101 0.2899
0.7899 0.2101 0.2101
0.2101 0.2101 0.7899
0.2899 0.2899 0.2899
0.7101 0.2899 0.7101
0.2101 0.7899 0.2101
0.7899 0.7899 0.7899
0.2899 0.7101 0.7101
0.6000 0.6000 0.6000
0.9000 0.1000 0.9000
0.4000 0.6000 0.4000
0.9000 0.9000 0.1000
0.1000 0.1000 0.1000
0.6000 0.4000 0.4000
0.4000 0.4000 0.6000
0.1000 0.9000 0.9000
```

Results
Its volume is 81 Å³/f.u. As for the space-group type: No. 217.



Least stable structure: 2)



1) CdMo | PBE | relaxed

POSCAR file:
```
CdMo
1.0
-2.2457 3.2681 0.7422
-0.6099 -3.3870 2.1049
3.9217 1.7846 4.0080
Mo Cd
2 2
Direct
0.3333 0.6667 0.2500
0.6667 0.3333 0.7500
0.0000 0.0000 0.5000
0.0000 0.0000 0.0000
```

Results
Its volume is 41 Å³/f.u. As for the space-group type: No. 194.



2) CdMo | PBE | relaxed

POSCAR file:
```
CdMo
1.0
8.2593 0.0000 0.0000
0.0000 15.5126 0.0000
0.0000 0.0000 4.8275
Cd Mo
16 16
Direct
0.1650 0.5000 0.0000
0.1650 0.0000 0.5000
0.5850 0.2500 0.7500
0.5850 0.7500 0.2500
0.8350 0.0000 0.5000
0.0850 0.7500 0.7500
0.6650 0.5000 0.5000
0.6650 0.0000 0.0000
0.3350 0.0000 0.0000
0.0850 0.2500 0.2500
0.9150 0.2500 0.7500
0.8350 0.5000 0.0000
0.4150 0.7500 0.7500
0.4150 0.2500 0.2500
0.9150 0.7500 0.2500
0.3350 0.5000 0.5000
0.2500 0.6682 0.2500
0.0000 0.9182 0.0000
0.5000 0.5818 0.0000
0.2500 0.8318 0.2500
0.0000 0.4182 0.5000
0.0000 0.5818 0.5000
0.7500 0.3318 0.2500
0.5000 0.0818 0.5000
0.7500 0.6682 0.7500
0.0000 0.0818 0.0000
0.2500 0.1682 0.7500
0.7500 0.8318 0.7500
0.5000 0.9182 0.5000
0.7500 0.1682 0.2500
0.5000 0.4182 0.0000
0.2500 0.3318 0.7500
```

Results
Its volume is 39 Å³/f.u. As for the space-group type: No. 70.



3) CdMo | PBE | relaxed

POSCAR file:
```
CdMo
1.0
5.4874 0.0000 0.0000
0.0000 5.4874 0.0000
0.0000 0.0000 5.6334
Mo Cd
4 4
Direct
0.8517 0.8517 0.5000
0.1483 0.1483 0.5000
0.3517 0.6483 0.0000
0.6483 0.3517 0.0000
0.3263 0.6737 0.5000
0.6737 0.3263 0.5000
0.8263 0.8263 0.0000
0.1737 0.1737 0.0000
```

Results
Its volume is 42 Å³/f.u. As for the space-group type: No. 136.



Least stable structure: 1)



1) CdMo | PBE | relaxed

POSCAR file:
```
CdMo
1.0
10.0492 0.0000 0.0000
0.0000 10.0492 0.0000
0.0000 0.0000 3.1551
Cd Mo
8 8
Direct
0.6456 0.3418 0.5000
0.3418 0.3544 0.5000
0.8446 0.8516 0.0000
0.8516 0.1554 0.0000
0.3544 0.6582 0.5000
0.1484 0.8446 0.0000
0.6582 0.6456 0.5000
0.1554 0.1484 0.0000
0.6465 0.0076 0.5000
0.0076 0.3535 0.5000
0.3535 0.9924 0.5000
0.5148 0.8539 0.0000
0.4852 0.1461 0.0000
0.1461 0.5148 0.0000
0.9924 0.6465 0.5000
0.8539 0.4852 0.0000
```

Results
Its volume is 40 Å³/f.u. As for the space-group type: No. 83.



2) CdMo | PBE | relaxed

POSCAR file:
```
CdMo
1.0
6.1485 0.0000 0.0000
0.0000 4.8778 0.0000
0.0000 0.0000 9.8146
Mo Cd
8 8
Direct
0.8004 0.5830 0.3638
0.5074 0.4153 0.6455
0.0074 0.0847 0.3545
0.6996 0.4170 0.8638
0.1996 0.0830 0.1362
0.3004 0.9170 0.6362
0.9926 0.5847 0.1455
0.4926 0.9153 0.8545
0.0118 0.4056 0.6192
0.5118 0.0944 0.3808
0.2813 0.5911 0.3826
0.4882 0.5944 0.1192
0.7187 0.0911 0.1174
0.9882 0.9056 0.8808
0.2187 0.4089 0.8826
0.7813 0.9089 0.6173
```

Results
Its volume is 37 Å³/f.u. As for the space-group type: No. 19.



Least stable structure: 2)